{"formula": "CaLa3Sm4", "functional": "PBE-GGA", "state": "relaxed", "e_tot_ev_per_atom": -4.27, "space_group": "P-1, No. 2", "dos_ef_per_ev_atom": 1.67, "magnetic_moment_mub_per_fu": 0.00, "e_form_kcal_per_mol_atoms": 4.3, "volume_a3_per_atom": 36.6, "lattice_angstrom": [[0.464, -1.702, 3.217], [-1.822, -5.027, -2.394], [12.776, -4.685, -2.203]], "species": ["Ca", "Sm", "Sm", "Sm", "Sm", "La", "La", "La"], "fractional_positions": [[0.000, 0.000, 0.000], [0.900, 0.320, 0.202], [0.100, 0.680, 0.798], [0.780, 0.259, 0.442], [0.220, 0.741, 0.558], [0.355, 0.797, 0.291], [0.645, 0.203, 0.709], [0.500, 0.500, 0.000]]}